(1)
The following is a PBE-GGA calculation of a relaxed structure of Er2Ni12As7, from the Open Quantum Materials Database.

The structure belongs to space group P-6 (No. 174); the cell edges are 9.3504, 9.3504 and 3.8099 Å and the angles 90.00°, 90.00° and 120.00°. The distinct sites, in fractional coordinates, are Er at (0.0000, 0.0000, 0.0000), Er at (0.3333, 0.6667, 0.5000), Ni at (0.0449, 0.7597, 0.5000), Ni at (0.1048, 0.3903, 0.0000), Ni at (0.3865, 0.2054, 0.0000), Ni at (0.5509, 0.1222, 0.5000), As at (0.0718, 0.6202, 0.0000), As at (0.2587, 0.0362, 0.5000) and As at (0.6667, 0.3333, 0.0000).

Its calculated total energy is -120.0 eV per cell. Its density is 9.00 g/cm3. The calculation puts the spin magnetization at 0.00 μB/f.u.

=====

(2)
The following is a PBE-GGA calculation of a relaxed structure of ErNi3As2, from the Open Quantum Materials Database.

The structure belongs to space group P-3m1 (No. 164); the cell edges are 4.0161, 4.0161 and 6.3805 Å and the angles 90.00°, 90.00° and 120.00°. The distinct sites, in fractional coordinates, are Er at (0.0000, 0.0000, 0.0000), Ni at (0.0000, 0.0000, 0.5000), Ni at (0.3333, 0.6667, 0.3326) and As at (0.3333, 0.6667, 0.7215).

Its calculated total energy is -34.5 eV per cell. Its density is 9.19 g/cm3. The calculation puts the spin magnetization at 0.01 μB/f.u.